No. 1
The following is a DFT calculation (PBE-GGA) of an optimized crystal structure of NiAgSb3. Values from VASP.

Values from the calculation:
Energy (eV/cell): -19.11
Formation energy (no corrections) (meV/atom): 379
Calculated volume (Å³/f.u.): 126

Geometry as Quantum ESPRESSO input:
```
&SYSTEM
  ibrav = 0, nat = 5, ntyp = 3
/
ATOMIC_SPECIES
Ag 107.87 Ag.upf
Sb 121.76 Sb.upf
Ni 58.69 Ni.upf
CELL_PARAMETERS angstrom
5.011 0.000 0.000
0.000 5.011 0.000
0.000 0.000 5.011
ATOMIC_POSITIONS crystal
Ag 0.500 0.500 0.500
Sb 0.000 0.000 0.500
Sb 0.000 0.500 0.000
Sb 0.500 0.000 0.000
Ni 0.000 0.000 0.000
```

=====

No. 2
The following is a DFT calculation (PBE-GGA) of an optimized crystal structure of ScNiAgSb2. Values from VASP.

Values from the calculation:
Energy (eV/cell): -20.04
Formation energy (no corrections) (meV/atom): 634
Calculated volume (Å³/f.u.): 136

Geometry as Quantum ESPRESSO input:
```
&SYSTEM
  ibrav = 0, nat = 5, ntyp = 4
/
ATOMIC_SPECIES
Sb 121.76 Sb.upf
Ag 107.87 Ag.upf
Ni 58.69 Ni.upf
Sc 44.96 Sc.upf
CELL_PARAMETERS angstrom
-1.242 -3.051 4.312
4.025 1.107 1.943
-2.324 4.294 2.369
ATOMIC_POSITIONS crystal
Sb 0.500 0.000 0.000
Sb 0.000 0.000 0.500
Ag 0.500 0.500 0.500
Ni 0.000 0.500 0.000
Sc 0.000 0.000 0.000
```

=====

What is the calculated volume in the second record?
136 Å³/f.u.

=====

The highest calculated volume belongs to which entry?
ScNiAgSb2

=====

Which of these has the highest formation energy (no corrections)?
ScNiAgSb2